An optimized crystal structure of Er3S2, computed with PBE.

Output
**VASP energy**: -176.202 eV per cell
**Polymorph energy (0 for the lowest one)**: 73.1 meV per atom
**ΔE_f (raw)**: -1485 meV/atom
**Spin magnetization**: 0.0 μB per formula unit
**D(E_F)**: 24.97 states/eV per cell

a b c (Å): 6.6065 6.6065 18.7771
angles (deg): 90.00 90.00 120.00
Space group R-3c (No. 167, hexagonal axes)
Asymmetric unit:
Er  0.0000  0.3302  0.2500
S  0.0000  0.0000  0.1632

---

An optimized crystal structure of Er2S3, computed with PBE.

Output
**VASP energy**: -191.199 eV per cell
**ΔE_f (raw)**: -2072 meV/atom
**Spin magnetization**: 0.0 μB per formula unit
**D(E_F)**: 0.00 states/eV per cell

a b c (Å): 10.116 3.994 17.550
angles (deg): 90.00 98.60 90.00
Space group P2_1/m (No. 11)
Asymmetric unit:
Er  0.013  0.250  0.100
Er  0.049  0.750  0.615
Er  0.311  0.250  0.479
Er  0.312  0.250  0.779
Er  0.330  0.750  0.282
Er  0.376  0.250  0.070
S  0.115  0.750  0.468
S  0.133  0.250  0.969
S  0.137  0.750  0.782
S  0.181  0.250  0.319
S  0.210  0.750  0.132
S  0.231  0.250  0.627
S  0.448  0.250  0.925
S  0.451  0.750  0.424
S  0.493  0.250  0.232